DFT (GGA-PBE) results for Na3In4Bi2 after structural relaxation. Values from VASP.

Cell and atoms, written as Quantum ESPRESSO input:
```
&SYSTEM
  ibrav = 0, nat = 18, ntyp = 3
/
ATOMIC_SPECIES
Na 22.99 Na.upf
In 114.82 In.upf
Bi 208.98 Bi.upf
CELL_PARAMETERS angstrom
-5.9060 -2.0411 2.6554
3.2925 -8.8038 0.5578
4.5206 -3.1486 7.6361
ATOMIC_POSITIONS angstrom
Na -3.0905 -3.5763 3.3982
Na 2.0455 -11.4332 8.7845
Na 4.9975 -10.4172 7.4511
Na -0.1384 -2.5603 2.0649
Na 2.4297 -6.4879 4.7590
Na -0.5227 -7.5056 6.0903
In 0.4830 -8.8211 2.9754
In 3.5475 -7.9718 1.7651
In 1.4240 -5.1724 7.8739
In -1.6405 -6.0217 9.0842
In 2.8173 -2.9812 3.9940
In 2.4797 -7.9796 8.0461
In -0.9102 -11.0123 6.8554
In -0.5726 -6.0139 2.8033
Bi -0.0938 -4.1807 5.2836
Bi -0.5514 -8.9877 9.2035
Bi 2.0008 -9.8128 5.5657
Bi 2.4585 -5.0058 1.6458
```



DFT (GGA-PBE) results for NaIn12Bi7 after structural relaxation. Values from VASP.

Cell and atoms, written as Quantum ESPRESSO input:
```
&SYSTEM
  ibrav = 0, nat = 20, ntyp = 3
/
ATOMIC_SPECIES
Na 22.99 Na.upf
In 114.82 In.upf
Bi 208.98 Bi.upf
CELL_PARAMETERS angstrom
0.2171 -0.8558 8.2948
2.6032 -8.3997 -3.7311
8.9751 -2.3019 2.3238
ATOMIC_POSITIONS angstrom
Na 0.0000 0.0000 0.0000
In 3.3860 -5.5363 6.5306
In 8.6387 -9.0104 5.6351
In 1.4389 -3.5587 3.7891
In 6.1049 -9.2393 0.2855
In 6.4187 -7.5942 3.0430
In 7.0209 -5.4489 6.2451
In 4.7745 -6.1084 0.6425
In 5.3768 -3.9632 3.8446
In 5.6906 -2.3180 6.6021
In 10.3566 -7.9987 3.0985
In 3.1567 -2.5469 1.2525
In 8.4094 -6.0210 0.3570
Bi 2.4759 -2.4519 6.6282
Bi 5.5283 -8.2916 6.0352
Bi 8.6380 -5.3034 3.4658
Bi 0.1086 -0.4279 4.1474
Bi 3.1575 -6.2539 3.4218
Bi 6.2672 -3.2658 0.8524
Bi 9.3196 -9.1054 0.2594
```



DFT (GGA-PBE) results for Na2InBi5 after structural relaxation. Values from VASP.

Cell and atoms, written as Quantum ESPRESSO input:
```
&SYSTEM
  ibrav = 0, nat = 8, ntyp = 3
/
ATOMIC_SPECIES
Na 22.99 Na.upf
In 114.82 In.upf
Bi 208.98 Bi.upf
CELL_PARAMETERS angstrom
7.0006 0.0000 -0.0001
0.0001 7.0014 -0.0113
-3.5001 -3.5068 4.9229
ATOMIC_POSITIONS angstrom
Na 0.0003 3.5042 2.1741
Na 3.5004 -0.0085 2.1774
In 0.0001 -0.0042 2.1278
Bi 1.7181 -1.7202 4.6471
Bi -1.7176 -1.7203 4.6470
Bi 1.7154 1.7104 4.6320
Bi -1.7147 1.7104 4.6319
Bi 3.5005 3.4957 2.2616
```



DFT (GGA-PBE) results for NaIn2Bi after structural relaxation. Values from VASP.

Cell and atoms, written as Quantum ESPRESSO input:
```
&SYSTEM
  ibrav = 0, nat = 4, ntyp = 3
/
ATOMIC_SPECIES
Na 22.99 Na.upf
Bi 208.98 Bi.upf
In 114.82 In.upf
CELL_PARAMETERS angstrom
4.9018 0.0000 0.0000
0.0000 4.7757 0.0000
0.0000 0.0000 4.7757
ATOMIC_POSITIONS angstrom
Na 2.4509 0.0000 0.0000
Bi 2.4509 2.3878 2.3878
In 0.0000 0.0000 2.3878
In 0.0000 2.3878 0.0000
```



DFT (GGA-PBE) results for Na5In2Bi4 after structural relaxation. Values from VASP.

Cell and atoms, written as Quantum ESPRESSO input:
```
&SYSTEM
  ibrav = 0, nat = 11, ntyp = 3
/
ATOMIC_SPECIES
Na 22.99 Na.upf
In 114.82 In.upf
Bi 208.98 Bi.upf
CELL_PARAMETERS angstrom
-0.0916 -1.5423 -5.1457
-1.4243 -9.2752 2.8052
-6.8245 1.3383 2.5250
ATOMIC_POSITIONS angstrom
Na -5.3575 -4.5402 -1.3488
Na -2.9829 -4.9391 1.5333
Na -4.3971 -1.0981 -2.3975
Na -0.0458 -0.7712 -2.5728
Na -3.9433 -8.3812 2.5820
In -7.3750 -2.7220 0.9469
In -0.9654 -6.7573 -0.7624
Bi -4.4226 -1.8785 0.6417
Bi -7.1208 -7.4373 -0.4491
Bi -3.9178 -7.6008 -0.4571
Bi -1.2196 -2.0420 0.6337
```



DFT (GGA-PBE) results for Na3In4Bi4 after structural relaxation. Values from VASP.

Cell and atoms, written as Quantum ESPRESSO input:
```
&SYSTEM
  ibrav = 0, nat = 11, ntyp = 3
/
ATOMIC_SPECIES
Na 22.99 Na.upf
In 114.82 In.upf
Bi 208.98 Bi.upf
CELL_PARAMETERS angstrom
5.4152 0.0000 0.0000
0.0000 3.4476 0.0000
-2.7076 -1.7238 17.4226
ATOMIC_POSITIONS angstrom
Na 0.0000 1.7238 12.7668
Na 2.7076 0.0000 4.6558
Na 0.0000 0.0000 0.0000
In 2.7076 0.0000 11.1984
In 0.0000 0.0000 15.9145
In 2.7076 1.7238 1.5081
In 0.0000 1.7238 6.2243
Bi 0.0000 0.0000 9.5962
Bi 0.0000 1.7238 3.0607
Bi 2.7076 0.0000 14.3619
Bi 2.7076 1.7238 7.8265
```



DFT (GGA-PBE) results for NaIn4Bi after structural relaxation. Values from VASP.

Cell and atoms, written as Quantum ESPRESSO input:
```
&SYSTEM
  ibrav = 0, nat = 12, ntyp = 3
/
ATOMIC_SPECIES
Na 22.99 Na.upf
In 114.82 In.upf
Bi 208.98 Bi.upf
CELL_PARAMETERS angstrom
5.6948 -0.3665 -0.0770
-0.2442 6.1170 2.2829
-0.2130 -0.1686 9.7786
ATOMIC_POSITIONS angstrom
Na 1.0362 4.6324 10.6557
Na 4.2014 0.9495 1.3289
In 4.1812 1.3827 4.7421
In 4.1053 0.2878 7.7278
In 1.3201 1.0804 6.0800
In 1.3070 2.2119 3.1069
In 1.0565 4.1992 7.2425
In 3.9175 4.5015 5.9046
In 1.1323 5.2941 4.2567
In 3.9306 3.3700 8.8776
Bi 1.1600 1.6371 9.3448
Bi 4.0776 3.9448 2.6397
```



DFT (GGA-PBE) results for Na5In4Bi4 after structural relaxation. Values from VASP.

Cell and atoms, written as Quantum ESPRESSO input:
```
&SYSTEM
  ibrav = 0, nat = 13, ntyp = 3
/
ATOMIC_SPECIES
Na 22.99 Na.upf
In 114.82 In.upf
Bi 208.98 Bi.upf
CELL_PARAMETERS angstrom
4.6185 0.0000 1.1743
2.3093 9.2446 0.5871
0.0313 0.0000 9.5467
ATOMIC_POSITIONS angstrom
Na 5.4299 8.4914 7.6527
Na 1.5292 0.7531 3.6554
Na 0.0000 0.0000 0.0000
Na 4.4330 6.0787 1.9042
Na 2.5261 3.1659 9.4039
In 5.3834 4.8048 7.8359
In 3.4346 2.9768 5.8309
In 1.5757 4.4398 3.4721
In 3.5245 6.2678 5.4772
Bi 4.2084 2.7877 2.7876
Bi 2.7507 6.4569 8.5205
Bi 6.2409 7.5800 4.4632
Bi 0.7182 1.6646 6.8449
```



| no. | DFT formation energy (meV per atom) | magnetic moment (μB/f.u.) | energy (eV per formula unit) |
| --- | --- | --- | --- |
| 1 | -145 | 0.00 | -23.975 |
| 2 | 30 | 0.00 | -60.753 |
| 3 | -128 | 0.00 | -25.802 |
| 4 | -121 | 0.00 | -11.160 |
| 5 | -199 | 0.00 | -29.782 |
| 6 | -94 | 0.00 | -31.471 |
| 7 | -58 | 0.00 | -16.499 |
| 8 | -181 | 0.00 | -35.431 |